[1]
Ac6SbRh2Se3 | PBE-GGA | relaxed

Unit cell a=7.7469 b=7.7469 c=8.0667 alpha=99.43 beta=99.43 gamma=120.12
With the nearest neighbours (Å) after each atom.
Fractional coordinates of all 12 atoms:
Se 0.1578 0.8422 0.5000  6 Ac 3.20-3.38
Sb 0.0000 0.0000 0.0000  6 Ac 3.30-3.32
Rh 0.6680 0.3320 0.0000  6 Ac 3.03-3.07
Ac 0.5629 0.9240 0.7664  2 Rh 3.03-3.07, 3 Se 3.20-3.38, 1 Sb 3.30
Ac 0.4371 0.0760 0.2336  2 Rh 3.03-3.07, 3 Se 3.20-3.38, 1 Sb 3.30
Ac 0.0760 0.4371 0.2336  2 Rh 3.03-3.07, 3 Se 3.20-3.38, 1 Sb 3.30
Ac 0.7189 0.7189 0.2344  2 Rh 3.07, 3 Se 3.14-3.28, 1 Sb 3.32
Se 0.5000 0.5000 0.5000  6 Ac 3.14-3.37
Se 0.8422 0.1578 0.5000  6 Ac 3.20-3.38
Ac 0.2811 0.2811 0.7656  2 Rh 3.07, 3 Se 3.14-3.28, 1 Sb 3.32
Rh 0.3320 0.6680 0.0000  6 Ac 3.03-3.07
Ac 0.9240 0.5629 0.7664  2 Rh 3.03-3.07, 3 Se 3.20-3.38, 1 Sb 3.30

Values from the calculation:
magnetization	0.00	μB/f.u.
Fermi-level density of states	0.653	states/eV per atom
formation energy (no corrections)	-1.321	eV per atom
total DFT energy (no corrections)	-69.785	eV for the cell shown

[2]
KAc2SeO5 | PBE-GGA | relaxed

Unit cell a=7.2682 b=7.2682 c=8.0530 alpha=116.83 beta=116.83 gamma=90.00
With the nearest neighbours (Å) after each atom.
Fractional coordinates of all 18 atoms:
O 0.0000 0.0000 0.0000  4 Ac 2.67
O 0.0087 0.5087 0.7548  1 Se 2.08
O 0.5087 0.7461 0.7548  1 Se 2.08
Se 0.2500 0.7500 0.5000  4 O 2.08
O 0.4913 0.2539 0.2452  1 Se 2.08
K 0.2500 0.2500 0.5000  10 O 3.10-3.25
K 0.7500 0.7500 0.5000  10 O 3.10-3.25
Ac 0.6791 0.1791 0.0000  8 O 2.47-2.74
Ac 0.3209 0.8209 0.0000  8 O 2.47-2.74
O 0.5000 0.5000 0.0000  4 Ac 2.67
O 0.7461 0.2461 0.7548  1 Se 2.08
O 0.2461 0.0087 0.7548  1 Se 2.08
Se 0.7500 0.2500 0.5000  4 O 2.08
O 0.9913 0.4913 0.2452  1 Se 2.08
Ac 0.1791 0.3209 0.0000  8 O 2.47-2.74
O 0.7539 0.9913 0.2452  1 Se 2.08
Ac 0.8209 0.6791 0.0000  8 O 2.47-2.74
O 0.2539 0.7539 0.2452  1 Se 2.08

Values from the calculation:
magnetization	1.03	μB/f.u.
Fermi-level density of states	0.391	states/eV per atom
formation energy (no corrections)	-2.055	eV per atom
total DFT energy (no corrections)	-112.178	eV for the cell shown

[3]
HoPaNi2P2 | PBE-GGA | relaxed

Unit cell a=3.8903 b=3.8903 c=7.7044 alpha=90.00 beta=90.00 gamma=120.00
With the nearest neighbours (Å) after each atom.
Fractional coordinates of all 6 atoms:
Ho 0.0000 0.0000 0.5000  6 P 2.92, 6 Ni 3.07
Ni 0.6667 0.3333 0.2287  3 P 2.26
Pa 0.0000 0.0000 0.0000  6 Ni 2.85, 6 P 3.00
Ni 0.3333 0.6667 0.7713  3 P 2.26
P 0.3333 0.6667 0.2577  3 Ni 2.26
P 0.6667 0.3333 0.7423  3 Ni 2.26

Values from the calculation:
magnetization	0.00	μB/f.u.
Fermi-level density of states	0.788	states/eV per atom
energy relative to the elements	-1171	meV per atom
total DFT energy (no corrections)	-43.481	eV for the cell shown

[4]
CoCu2Os | PBE-GGA | relaxed

Unit cell a=4.5773 b=4.5773 c=4.4996 alpha=80.61 beta=80.61 gamma=32.30
With the nearest neighbours (Å) after each atom.
Fractional coordinates of all 4 atoms:
Co 0.2500 0.2500 0.2500  2 Co 2.55, 4 Os 2.59, 6 Cu 2.61-2.64
Cu 0.9984 0.9984 0.0041  6 Cu 2.55-2.61, 3 Co 2.61-2.64, 3 Os 2.63-2.64
Os 0.7500 0.7500 0.7500  2 Os 2.55, 4 Co 2.59, 6 Cu 2.63-2.64
Cu 0.5016 0.5016 0.4959  6 Cu 2.55-2.61, 3 Co 2.61-2.64, 3 Os 2.63-2.64

Values from the calculation:
magnetization	1.69	μB/f.u.
energy relative to the lowest polymorph listed for this composition	83	meV per atom
Fermi-level density of states	1.005	states/eV per atom
energy relative to the elements	256	meV per atom
total DFT energy (no corrections)	-25.503	eV for the cell shown

[5]
IrRu | PBE-GGA | relaxed

Unit cell a=2.7165 b=2.7165 c=9.0365 alpha=81.36 beta=98.64 gamma=120.00
With the nearest neighbours (Å) after each atom.
Fractional coordinates of all 4 atoms:
Ru 0.7509 0.2491 0.2528  9 Ru 2.68-2.72, 3 Ir 2.72
Ir 0.2488 0.7512 0.7463  3 Ru 2.72, 9 Ir 2.72-2.78
Ir 0.0012 0.9988 0.0037  3 Ru 2.72, 9 Ir 2.72-2.78
Ru 0.4991 0.5009 0.4972  9 Ru 2.68-2.72, 3 Ir 2.72

Values from the calculation:
magnetization	0.00	μB/f.u.
energy relative to the lowest polymorph listed for this composition	62	meV per atom
Fermi-level density of states	0.924	states/eV per atom
energy relative to the elements	7	meV per atom
total DFT energy (no corrections)	-36.245	eV for the cell shown

[6]
Pr8Rh3Br4Cl | PBE-GGA | relaxed

Unit cell a=8.4101 b=9.1505 c=8.4087 alpha=117.38 beta=120.01 gamma=90.00
With the nearest neighbours (Å) after each atom.
Fractional coordinates of all 16 atoms:
Br 0.5000 0.0000 0.5000  6 Pr 3.39-3.40
Pr 0.7153 0.7041 0.9599  2 Rh 2.84, 1 Cl 3.02
Pr 0.2445 0.7041 0.4891  2 Rh 2.84, 1 Cl 3.02
Pr 0.7554 0.2959 0.0401  2 Rh 2.84, 1 Cl 3.02
Rh 0.0000 0.5000 0.5000  6 Pr 2.84-2.86
Br 0.0000 0.0000 0.5000  6 Pr 3.39-3.40
Pr 0.2684 0.3057 0.5368  3 Rh 2.86
Pr 0.7555 0.2959 0.5109  2 Rh 2.84, 1 Cl 3.02
Cl 0.0000 0.5000 0.0000  6 Pr 3.02
Pr 0.2847 0.2959 0.0401  2 Rh 2.84, 1 Cl 3.02
Rh 0.5000 0.5000 0.5000  6 Pr 2.84-2.86
Pr 0.7316 0.6943 0.4632  3 Rh 2.86
Br 0.0000 0.0000 0.0000  6 Pr 3.39-3.40
Pr 0.2446 0.7041 0.9599  2 Rh 2.84, 1 Cl 3.02
Rh 0.5000 0.5000 0.0000  6 Pr 2.84-2.86
Br 0.5000 0.0000 0.0000  6 Pr 3.24

Values from the calculation:
magnetization	0.00	μB/f.u.
Fermi-level density of states	0.534	states/eV per atom
formation energy (no corrections)	-1.087	eV per atom
total DFT energy (no corrections)	-86.215	eV for the cell shown

[7]
TmLu2Tc | PBE-GGA | relaxed

Unit cell a=3.3642 b=3.3642 c=10.8541 alpha=81.08 beta=81.08 gamma=60.00
With the nearest neighbours (Å) after each atom.
Fractional coordinates of all 4 atoms:
Tc 0.5000 0.5000 0.5000  6 Lu 2.78
Lu 0.8955 0.8955 0.3136  3 Tc 2.78
Lu 0.1045 0.1045 0.6864  3 Tc 2.78
Tm 0.0000 0.0000 0.0000  2 Lu 3.35, 6 Tm 3.36

Values from the calculation:
magnetization	0.41	μB/f.u.
energy relative to the lowest polymorph listed for this composition	260	meV per atom
Fermi-level density of states	1.419	states/eV per atom
energy relative to the elements	221	meV per atom
total DFT energy (no corrections)	-22.996	eV for the cell shown

[8]
KSiIr2 | PBE-GGA | relaxed

Unit cell a=4.5474 b=4.5474 c=3.1316 alpha=90.00 beta=90.00 gamma=90.00
With the nearest neighbours (Å) after each atom.
Fractional coordinates of all 4 atoms:
Ir 0.0000 0.0000 0.0000  4 K 2.76, 4 Si 2.76
Si 0.0000 0.5000 0.5000  8 Ir 2.76
Ir 0.5000 0.5000 0.0000  4 Si 2.76, 4 K 2.76
K 0.5000 0.0000 0.5000  8 Ir 2.76

Values from the calculation:
magnetization	0.00	μB/f.u.
Fermi-level density of states	0.337	states/eV per atom
formation energy (no corrections)	0.868	eV per atom
total DFT energy (no corrections)	-20.769	eV for the cell shown

[9]
NaRu3C | PBE-GGA | relaxed

Unit cell a=4.4671 b=4.4671 c=4.4671 alpha=90.00 beta=90.00 gamma=90.00
With the nearest neighbours (Å) after each atom.
Fractional coordinates of all 5 atoms:
C 0.5000 0.5000 0.5000  12 Ru 3.16
Ru 0.5000 0.0000 0.0000  2 Na 2.23
Ru 0.0000 0.5000 0.0000  2 Na 2.23
Na 0.0000 0.0000 0.0000  6 Ru 2.23
Ru 0.0000 0.0000 0.5000  2 Na 2.23

Values from the calculation:
magnetization	3.32	μB/f.u.
energy relative to the lowest polymorph listed for this composition	3131	meV per atom
Fermi-level density of states	2.496	states/eV per atom
energy relative to the elements	3661	meV per atom
total DFT energy (no corrections)	-20.064	eV for the cell shown

[10]
ReSe3 | PBE-GGA | relaxed

Unit cell a=10.1109 b=10.1109 c=10.1109 alpha=17.75 beta=17.75 gamma=17.75
With the nearest neighbours (Å) after each atom.
Fractional coordinates of all 4 atoms:
Se 0.2729 0.2729 0.2729  3 Re 2.55
Re 0.0000 0.0000 0.0000  6 Se 2.55
Se 0.5000 0.5000 0.5000  6 Se 3.12
Se 0.7271 0.7271 0.7271  3 Re 2.55

Values from the calculation:
magnetization	0.00	μB/f.u.
energy relative to the lowest polymorph listed for this composition	185	meV per atom
Fermi-level density of states	0.727	states/eV per atom
formation energy (no corrections)	0.158	eV per atom
total DFT energy (no corrections)	-22.270	eV for the cell shown

[11]
RbZrH2Cl8 | PBE-GGA | relaxed

Unit cell a=6.4996 b=8.0873 c=9.3142 alpha=119.01 beta=86.89 gamma=74.10
With the nearest neighbours (Å) after each atom.
Fractional coordinates of all 12 atoms:
Cl 0.1426 0.7363 0.6947  1 H 2.13
Rb 0.0000 0.0000 0.5000  6 Cl 3.40-3.52
Cl 0.8574 0.2637 0.3053  1 H 2.13
H 0.7109 0.5583 0.3469  1 Cl 1.32
H 0.2891 0.4417 0.6531  1 Cl 1.32
Cl 0.8148 0.2442 0.9248  1 Zr 2.44
Cl 0.3746 0.2581 0.6252  1 H 1.32
Cl 0.6805 0.8779 0.0052  1 Zr 2.54, 1 Cl 2.66
Cl 0.1852 0.7558 0.0752  1 Zr 2.44
Zr 0.0000 0.0000 0.0000  6 Cl 2.44-2.54
Cl 0.3195 0.1221 0.9948  1 Zr 2.54, 1 Cl 2.66
Cl 0.6254 0.7419 0.3748  1 H 1.32

Values from the calculation:
magnetization	0.98	μB/f.u.
total DFT energy (no corrections)	-45.537	eV for the cell shown

[12]
Tm3CdIr | PBE-GGA | relaxed

Unit cell a=3.8992 b=8.7444 c=8.7444 alpha=69.59 beta=90.00 gamma=90.00
With the nearest neighbours (Å) after each atom.
Fractional coordinates of all 10 atoms:
Ir 0.3636 0.1942 0.7465  6 Tm 2.69-2.71
Cd 0.3633 0.6942 0.7463  8 Tm 3.29
Tm 0.8636 0.3732 0.8185  2 Ir 2.71
Cd 0.8633 0.1942 0.2464  8 Tm 3.24-3.52
Tm 0.8636 0.0150 0.6745  2 Ir 2.71
Ir 0.3629 0.6941 0.2464  6 Tm 2.69-2.71
Tm 0.3632 0.0139 0.0662  2 Ir 2.69
Tm 0.3632 0.3744 0.4267  2 Ir 2.69
Tm 0.8629 0.7661 0.4255  2 Ir 2.71
Tm 0.8629 0.6221 0.0673  2 Ir 2.71

Values from the calculation:
magnetization	0.00	μB/f.u.
energy relative to the lowest polymorph listed for this composition	106	meV per atom
Fermi-level density of states	0.616	states/eV per atom
energy relative to the elements	-457	meV per atom
total DFT energy (no corrections)	-50.949	eV for the cell shown